# Ge2Se2Br | Alexandria | PBE | relaxed
data_Ge2Se2Br
_chemical_formula_sum 'Ge4 Se4 Br2'
_cell_length_a 8.349
_cell_length_b 8.349
_cell_length_c 3.775
_cell_angle_alpha 90.00
_cell_angle_beta 90.00
_cell_angle_gamma 90.00
_space_group_name_H-M_alt 'P 4/m b m'
_space_group_IT_number 127
_space_group_name_Hall '-P 4 2ab'
loop_
_atom_site_label
_atom_site_type_symbol
_atom_site_fract_x
_atom_site_fract_y
_atom_site_fract_z
Ge1 Ge 0.240 0.260 0.000
Se1 Se 0.121 0.621 0.500
Br1 Br 0.000 0.000 0.000
# formation energy from raw total energies	-0.154	eV/atom
# calculated volume	26.31	A^3/atom
# energy relative to the lowest polymorph listed for this composition	0.088	eV per atom
# density of states at the Fermi level	1.86	states/eV/cell
# spin magnetization	0.00	Bohr magnetons per cell

***

# Ti3ZnN | Alexandria | PBE | relaxed
data_Ti3ZnN
_chemical_formula_sum 'Ti6 Zn2 N2'
_cell_length_a 5.045
_cell_length_b 5.606
_cell_length_c 5.831
_cell_angle_alpha 72.87
_cell_angle_beta 87.82
_cell_angle_gamma 64.62
_space_group_name_H-M_alt 'P 1'
_space_group_IT_number 1
loop_
_space_group_symop_operation_xyz
'x,y,z'
loop_
_atom_site_label
_atom_site_type_symbol
_atom_site_fract_x
_atom_site_fract_y
_atom_site_fract_z
Ti1 Ti 0.000 0.000 0.000
Ti2 Ti 0.026 0.007 0.503
Ti3 Ti 0.119 0.502 0.894
Ti4 Ti 0.515 0.037 0.740
Ti5 Ti 0.602 0.499 0.127
Ti6 Ti 0.629 0.522 0.637
Zn1 Zn 0.111 0.511 0.384
Zn2 Zn 0.511 0.996 0.269
N1 N 0.311 0.781 0.812
N2 N 0.563 0.245 0.948
# formation energy from raw total energies	-0.706	eV/atom
# calculated volume	14.16	A^3/atom
# energy relative to the lowest polymorph listed for this composition	0.193	eV per atom
# density of states at the Fermi level	5.00	states/eV/cell
# spin magnetization	0.00	Bohr magnetons per cell

***

# Co2PRh | Alexandria | PBE | relaxed
data_Co2PRh
_chemical_formula_sum 'Co2 P1 Rh1'
_cell_length_a 2.742
_cell_length_b 3.684
_cell_length_c 4.883
_cell_angle_alpha 90.00
_cell_angle_beta 105.33
_cell_angle_gamma 90.00
_space_group_name_H-M_alt 'P 1 2/m 1'
_space_group_IT_number 10
loop_
_space_group_symop_operation_xyz
'x,y,z'
'-x,-y,-z'
'-x,y,-z'
'x,-y,z'
loop_
_atom_site_label
_atom_site_type_symbol
_atom_site_fract_x
_atom_site_fract_y
_atom_site_fract_z
Co1 Co 0.138 0.000 0.275
P1 P 0.500 0.500 0.500
Rh1 Rh 0.500 0.500 0.000
# calculated volume	11.90	A^3/atom
# formation enthalpy at 0 K	-0.67	eV per formula unit
# density of states at the Fermi level	3.61	states/eV/cell
# spin magnetization	2.39	Bohr magnetons per cell

***

# LaRhBr2 | Alexandria | PBE | relaxed
data_LaRhBr2
_chemical_formula_sum 'La3 Rh3 Br6'
_cell_length_a 3.7598
_cell_length_b 3.7598
_cell_length_c 27.5424
_cell_angle_alpha 90.00
_cell_angle_beta 90.00
_cell_angle_gamma 120.00
_space_group_name_H-M_alt 'R -3 m'
_space_group_IT_number 166
_space_group_name_Hall '-R 3 2"'
loop_
_atom_site_label
_atom_site_type_symbol
_atom_site_fract_x
_atom_site_fract_y
_atom_site_fract_z
La1 La 0.0000 0.0000 0.0000
Rh1 Rh 0.0000 0.0000 0.5000
Br1 Br 0.0000 0.0000 0.4106
# formation energy from raw total energies	-0.466	eV/atom
# calculated volume	28.10	A^3/atom
# energy relative to the lowest polymorph listed for this composition	0.669	eV per atom
# density of states at the Fermi level	10.61	states/eV/cell
# spin magnetization	3.38	Bohr magnetons per cell

***

# InSn2Br5 | Alexandria | PBE | relaxed
data_InSn2Br5
_chemical_formula_sum 'In4 Sn8 Br20'
_cell_length_a 8.416
_cell_length_b 8.416
_cell_length_c 14.762
_cell_angle_alpha 90.00
_cell_angle_beta 90.00
_cell_angle_gamma 90.00
_space_group_name_H-M_alt 'I 4/m c m'
_space_group_IT_number 140
_space_group_name_Hall '-I 4 2c'
loop_
_atom_site_label
_atom_site_type_symbol
_atom_site_fract_x
_atom_site_fract_y
_atom_site_fract_z
In1 In 0.000 0.000 0.250
Sn1 Sn 0.175 0.325 0.000
Br1 Br 0.000 0.000 0.000
Br2 Br 0.161 0.339 0.364
# formation energy from raw total energies	-0.728	eV/atom
# calculated volume	32.67	A^3/atom
# density of states at the Fermi level	0.00	states/eV/cell
# spin magnetization	0.00	Bohr magnetons per cell

***

# InGeW2Au | Alexandria | PBE | relaxed
data_InGeW2Au
_chemical_formula_sum 'In1 Ge1 W2 Au1'
_cell_length_a 4.663
_cell_length_b 4.663
_cell_length_c 4.933
_cell_angle_alpha 90.00
_cell_angle_beta 90.00
_cell_angle_gamma 90.00
_space_group_name_H-M_alt 'P 4/m m m'
_space_group_IT_number 123
_space_group_name_Hall '-P 4 2'
loop_
_atom_site_label
_atom_site_type_symbol
_atom_site_fract_x
_atom_site_fract_y
_atom_site_fract_z
In1 In 0.000 0.000 0.000
Ge1 Ge 0.000 0.000 0.500
W1 W 0.000 0.500 0.500
Au1 Au 0.500 0.500 0.000
# calculated volume	21.46	A^3/atom
# formation enthalpy at 0 K	8.07	eV per formula unit
# density of states at the Fermi level	2.94	states/eV/cell
# spin magnetization	0.00	Bohr magnetons per cell

***

# RbNaHg2Au2 | Alexandria | PBE | relaxed
data_RbNaHg2Au2
_chemical_formula_sum 'Rb1 Na1 Hg2 Au2'
_cell_length_a 4.9358
_cell_length_b 4.9358
_cell_length_c 8.1815
_cell_angle_alpha 90.00
_cell_angle_beta 90.00
_cell_angle_gamma 120.00
_space_group_name_H-M_alt 'P -3 m 1'
_space_group_IT_number 164
_space_group_name_Hall '-P 3 2"'
loop_
_atom_site_label
_atom_site_type_symbol
_atom_site_fract_x
_atom_site_fract_y
_atom_site_fract_z
Rb1 Rb 0.0000 0.0000 0.0000
Na1 Na 0.0000 0.0000 0.5000
Hg1 Hg 0.3333 0.6667 0.3059
Au1 Au 0.3333 0.6667 0.6911
# calculated volume	28.77	A^3/atom
# formation enthalpy at 0 K	-1.65	eV per formula unit
# density of states at the Fermi level	1.67	states/eV/cell
# spin magnetization	0.00	Bohr magnetons per cell

***

# SrZrTe | Alexandria | PBE | relaxed
data_SrZrTe
_chemical_formula_sum 'Sr4 Zr4 Te4'
_cell_length_a 7.257
_cell_length_b 7.257
_cell_length_c 7.257
_cell_angle_alpha 90.00
_cell_angle_beta 90.00
_cell_angle_gamma 90.00
_space_group_name_H-M_alt 'F -4 3 m'
_space_group_IT_number 216
_space_group_name_Hall 'F -4 2 3'
loop_
_atom_site_label
_atom_site_type_symbol
_atom_site_fract_x
_atom_site_fract_y
_atom_site_fract_z
Sr1 Sr 0.000 0.000 0.000
Zr1 Zr 0.000 0.000 0.500
Te1 Te 0.250 0.250 0.250
# formation energy from raw total energies	-0.149	eV/atom
# calculated volume	31.85	A^3/atom
# energy relative to the lowest polymorph listed for this composition	0.330	eV per atom
# density of states at the Fermi level	7.38	states/eV/cell
# spin magnetization	7.19	Bohr magnetons per cell

***

# PrPaC2 | Alexandria | PBE | relaxed
data_PrPaC2
_chemical_formula_sum 'Pr3 Pa3 C6'
_cell_length_a 3.6516
_cell_length_b 3.6516
_cell_length_c 18.4057
_cell_angle_alpha 90.00
_cell_angle_beta 90.00
_cell_angle_gamma 120.00
_space_group_name_H-M_alt 'R 3 m'
_space_group_IT_number 160
_space_group_name_Hall 'R 3 -2"'
loop_
_atom_site_label
_atom_site_type_symbol
_atom_site_fract_x
_atom_site_fract_y
_atom_site_fract_z
Pr1 Pr 0.0000 0.0000 0.0000
Pa1 Pa 0.0000 0.0000 0.1681
C1 C 0.0000 0.0000 0.5734
C2 C 0.0000 0.0000 0.7668
# calculated volume	17.71	A^3/atom
# formation enthalpy at 0 K	-0.42	eV per formula unit
# energy relative to the lowest polymorph listed for this composition	0.124	eV per atom
# density of states at the Fermi level	3.15	states/eV/cell
# spin magnetization	0.00	Bohr magnetons per cell

***

# KSb6Pd12 | Alexandria | PBE | relaxed
data_KSb6Pd12
_chemical_formula_sum 'K3 Sb18 Pd36'
_cell_length_a 12.0681
_cell_length_b 12.0681
_cell_length_c 9.3828
_cell_angle_alpha 90.00
_cell_angle_beta 90.00
_cell_angle_gamma 120.00
_space_group_name_H-M_alt 'R -3 m'
_space_group_IT_number 166
_space_group_name_Hall '-R 3 2"'
loop_
_atom_site_label
_atom_site_type_symbol
_atom_site_fract_x
_atom_site_fract_y
_atom_site_fract_z
K1 K 0.0000 0.0000 0.0000
Sb1 Sb 0.0494 0.5247 0.2697
Pd1 Pd 0.0000 0.3791 0.5000
Pd2 Pd 0.0965 0.1929 0.3294
# formation energy from raw total energies	-0.338	eV/atom
# calculated volume	20.76	A^3/atom
# density of states at the Fermi level	26.45	states/eV/cell
# spin magnetization	0.00	Bohr magnetons per cell

***

Which of these has the lowest calculated volume? Co2PRh